Material: NaAl2NiBr
Method: DFT, GGA-PBE
State: optimized geometry

As for the crystal system: tetragonal. The value obtained for the volume is 150.8 Å³/cell. The calculation puts the energy at -10.61 eV for the cell shown. Its theoretical density is 2.4 g cm⁻³. For the total magnetization, the calculation gives 0.000 μB/cell.

It has space group P4/mmm (No. 123), with a = 5.5041 Å, b = 5.5041 Å, c = 4.9769 Å, α = 90.00°, β = 90.00° and γ = 90.00°. The inequivalent atoms are Na at (0.0000, 0.0000, 0.0000), Al at (0.0000, 0.5000, 0.0000), Ni at (0.5000, 0.5000, 0.5000) and Br at (0.0000, 0.0000, 0.5000).

=====

Material: NaAlSeBr2
Method: DFT, GGA-PBE
State: optimized geometry

As for the crystal system: tetragonal. The value obtained for the volume is 166.8 Å³/cell. For the energy above the lowest structure with this stoichiometry, the calculation gives 0.811 eV/atom. The calculation puts the energy at -11.86 eV for the cell shown. Its theoretical density is 2.9 g cm⁻³. For the total magnetization, the calculation gives 2.014 μB/cell.

It has space group P4/mmm (No. 123), with a = 5.5479 Å, b = 5.5479 Å, c = 5.4178 Å, α = 90.00°, β = 90.00° and γ = 90.00°. The inequivalent atoms are Na at (0.0000, 0.0000, 0.0000), Al at (0.5000, 0.5000, 0.5000), Se at (0.0000, 0.0000, 0.5000) and Br at (0.0000, 0.5000, 0.0000).

=====

Material: NaAlSeBr2
Method: DFT, GGA-PBE
State: optimized geometry

As for the crystal system: tetragonal. The value obtained for the volume is 136.3 Å³/cell. For the energy above the lowest structure with this stoichiometry, the calculation gives 0.000 eV/atom. The calculation puts the energy at -15.92 eV for the cell shown. Its theoretical density is 3.5 g cm⁻³. For the total magnetization, the calculation gives 0.000 μB/cell.

It has space group P4/mmm (No. 123), with a = 5.3094 Å, b = 5.3094 Å, c = 4.8356 Å, α = 90.00°, β = 90.00° and γ = 90.00°. The inequivalent atoms are Na at (0.0000, 0.0000, 0.0000), Al at (0.5000, 0.5000, 0.5000), Se at (0.5000, 0.5000, 0.0000) and Br at (0.0000, 0.5000, 0.5000).

=====

Material: NaAlSe2Br
Method: DFT, GGA-PBE
State: optimized geometry

As for the crystal system: tetragonal. The value obtained for the volume is 132.4 Å³/cell. For the energy above the lowest structure with this stoichiometry, the calculation gives 0.000 eV/atom. The calculation puts the energy at -16.75 eV for the cell shown. Its theoretical density is 3.6 g cm⁻³. For the total magnetization, the calculation gives 0.000 μB/cell.

It has space group P4/mmm (No. 123), with a = 4.8521 Å, b = 4.8521 Å, c = 5.6243 Å, α = 90.00°, β = 90.00° and γ = 90.00°. The inequivalent atoms are Na at (0.0000, 0.0000, 0.0000), Al at (0.5000, 0.5000, 0.5000), Se at (0.0000, 0.5000, 0.5000) and Br at (0.5000, 0.5000, 0.0000).

=====

Material: NaAlSe2Br
Method: DFT, GGA-PBE
State: optimized geometry

As for the crystal system: tetragonal. The value obtained for the volume is 159.4 Å³/cell. For the energy above the lowest structure with this stoichiometry, the calculation gives 0.958 eV/atom. The calculation puts the energy at -11.96 eV for the cell shown. Its theoretical density is 3.0 g cm⁻³. For the total magnetization, the calculation gives 2.940 μB/cell.

It has space group P4/mmm (No. 123), with a = 5.4176 Å, b = 5.4176 Å, c = 5.4306 Å, α = 90.00°, β = 90.00° and γ = 90.00°. The inequivalent atoms are Na at (0.0000, 0.0000, 0.0000), Al at (0.5000, 0.5000, 0.5000), Se at (0.0000, 0.5000, 0.0000) and Br at (0.0000, 0.0000, 0.5000).

=====

Material: NaAlTl2Br6
Method: DFT, GGA-PBE
State: optimized geometry

As for the crystal system: trigonal. The value obtained for the volume is 350.2 Å³/cell. The calculation puts the energy at -30.65 eV for the cell shown. Its theoretical density is 4.4 g cm⁻³. For the total magnetization, the calculation gives 0.000 μB/cell.

It has space group P-3m1 (No. 164), with a = 7.4858 Å, b = 7.4858 Å, c = 7.2156 Å, α = 90.00°, β = 90.00° and γ = 120.00°. The inequivalent atoms are Na at (0.0000, 0.0000, 0.0000), Al at (0.0000, 0.0000, 0.5000), Tl at (0.3333, 0.6667, 0.6332) and Br at (0.1591, 0.3182, 0.2953).